Compound: Cs3NiAu2Br9
Source: Alexandria
Functional: GGA-PBE
Structure: optimized geometry

Computed properties:
- formation energy without anion corrections (eV/atom) = -0.8358
- calculated density (Mg/m³) = 5.586

Geometry as POSCAR:
```
Cs3NiAu2Br9
1.0
7.611 0.000 0.000
-3.806 6.591 0.000
0.000 0.000 9.306
Cs Ni Au Br
3 1 2 9
Cartesian
0.000 0.000 0.000
0.000 4.394 6.200
3.806 2.197 3.106
0.000 0.000 4.653
0.000 4.394 1.622
3.806 2.197 7.683
-1.903 3.296 0.000
0.000 2.083 3.196
-2.002 5.550 3.196
1.804 1.042 6.110
3.806 0.000 0.000
1.903 3.296 0.000
2.002 5.550 3.196
5.807 1.042 6.110
3.806 4.508 6.110
```

Compound: Ir3Au
Source: Alexandria
Functional: GGA-PBE
Structure: optimized geometry

Computed properties:
- ΔE_f (eV per formula unit) = 0.7
- calculated density (Mg/m³) = 20.930

Geometry as POSCAR:
```
Ir3Au
1.0
1.394 0.805 9.121
-1.394 0.805 9.121
0.000 -1.609 9.121
Ir Au
3 1
Cartesian
0.000 0.000 0.000
0.000 0.000 6.964
0.000 0.000 20.399
0.000 0.000 13.681
```

Compound: AlCdNF2
Source: Alexandria
Functional: GGA-PBE
Structure: optimized geometry

Computed properties:
- formation energy without anion corrections (eV/atom) = -1.5718
- energy above the lowest structure with this stoichiometry (kJ/mol of atoms) = 0.0
- calculated density (Mg/m³) = 5.664

Geometry as POSCAR:
```
AlCdNF2
1.0
3.721 0.000 0.000
0.000 3.721 0.000
0.000 0.000 4.052
Al Cd N F
1 1 1 2
Cartesian
0.000 0.000 0.000
1.861 1.861 2.026
0.000 0.000 2.026
0.000 1.861 0.000
1.861 0.000 0.000
```

> Number 1 is which compound?

Cs3NiAu2Br9

> Which of these has the highest calculated density?

Ir3Au